(1)
Computed, not measured: crystalline LiTcMo2 at its relaxed geometry at the PBE-GGA level of DFT.

a b c (Å): 2.6269 4.4098 5.1940
angles (deg): 90.00 100.27 90.00
Closest atoms and distances in Å follow each position.
Space group P2/m (No. 10)
Unique sites:
Li: 0.0000 0.0000 0.0000 (multiplicity 1)  2 Li 2.63, 2 Tc 2.69, 4 Mo 2.70
Tc: 0.5000 0.0000 0.5000 (multiplicity 1)  2 Tc 2.63, 2 Li 2.69, 4 Mo 2.70
Mo: 0.2479 0.5000 0.7507 (multiplicity 2)  4 Mo 2.63-2.70, 2 Li 2.70, 2 Tc 2.70

***

(2)
Computed, not measured: crystalline LiTcMo2 at its relaxed geometry at the PBE-GGA level of DFT.

a b c (Å): 3.0760 4.3462 9.2784
angles (deg): 90.00 90.00 90.00
Closest atoms and distances in Å follow each position.
Space group Cmmm (No. 65)
Unique sites:
Li: 0.0000 0.0000 0.0000 (multiplicity 2)  4 Li 2.66, 4 Mo 2.86
Tc: 0.0000 0.0000 0.5000 (multiplicity 2)  4 Tc 2.66, 4 Mo 2.71
Mo: 0.0000 0.5000 0.2594 (multiplicity 4)  4 Mo 2.66, 2 Tc 2.71, 2 Li 2.86

***

Most stable of them? (1).

***

(1)
Computed, not measured: crystalline LiTcMo2 at its relaxed geometry at the PBE-GGA level of DFT.

a b c (Å): 3.1093 4.3601 9.0981
angles (deg): 90.00 90.00 90.00
Closest atoms and distances in Å follow each position.
Space group Cmm2 (No. 35)
Unique sites:
Li: 0.0000 0.0000 0.0000 (multiplicity 2)  4 Li 2.68, 2 Tc 2.74, 2 Mo 2.87
Tc: 0.0000 0.5000 0.2484 (multiplicity 2)  2 Mo 2.68, 4 Tc 2.68, 2 Li 2.74
Mo: 0.0000 0.0000 0.4877 (multiplicity 2)  2 Tc 2.68, 6 Mo 2.68-2.74
Mo: 0.0000 0.5000 0.7351 (multiplicity 2)  6 Mo 2.68-2.74, 2 Li 2.87

***

(2)
Computed, not measured: crystalline LiTcMo2 at its relaxed geometry at the PBE-GGA level of DFT.

a b c (Å): 3.1198 4.3632 8.7392
angles (deg): 90.00 90.00 90.00
Closest atoms and distances in Å follow each position.
Space group Immm (No. 71)
Unique sites:
Li: 0.0000 0.0000 0.0000 (multiplicity 2)  4 Tc 2.68, 4 Mo 2.78
Tc: 0.0000 0.0000 0.5000 (multiplicity 2)  4 Mo 2.59, 4 Li 2.68
Mo: 0.0000 0.5000 0.2364 (multiplicity 4)  2 Tc 2.59, 4 Mo 2.69, 2 Li 2.78

***

(3)
Computed, not measured: crystalline LiTcMo2 at its relaxed geometry at the PBE-GGA level of DFT.

a b c (Å): 5.3265 8.3000 2.6883
angles (deg): 90.00 90.00 90.00
Closest atoms and distances in Å follow each position.
Space group Cmmm (No. 65)
Unique sites:
Li: 0.0000 0.0000 0.0000 (multiplicity 2)  2 Tc 2.66, 2 Li 2.69, 8 Mo 2.81
Tc: 0.0000 0.5000 0.0000 (multiplicity 2)  2 Li 2.66, 2 Tc 2.69, 8 Mo 2.81
Mo: 0.2500 0.2500 0.5000 (multiplicity 4)  4 Mo 2.66-2.69, 4 Li 2.81, 4 Tc 2.81

***

Most stable of them? (1).